(1)
Computed, not measured: an optimized crystal structure of PuCrGe2 at the PBE level of DFT.

abc: 3.1238 3.1238 7.1509
angles: 90.00 90.00 90.00
Last column: nearest neighbours and their distance in Å.
Space group P4/mmm (No. 123)
Inequivalent atoms, fractional coordinates:
Pu 0.0000 0.0000 0.0000  8 Ge 3.07, 4 Pu 3.12
Cr 0.0000 0.0000 0.5000  8 Ge 2.64
Ge 0.5000 0.5000 0.2981  4 Cr 2.64, 1 Ge 2.89

Values from the calculation:
energy above the most stable polymorph in this dataset	0.014	eV per atom
total magnetization	7.613	μB per cell



(2)
Computed, not measured: an optimized crystal structure of Ba2SiSb at the PBE level of DFT.

abc: 4.4189 4.4189 28.6876
angles: 90.00 90.00 120.00
Last column: nearest neighbours and their distance in Å.
Space group R-3m (No. 166, hexagonal axes)
Inequivalent atoms, fractional coordinates:
Ba 0.0000 0.0000 0.2468  3 Si 3.43, 3 Sb 3.56
Si 0.0000 0.0000 0.5000  6 Ba 3.43
Sb 0.0000 0.0000 0.0000  6 Ba 3.56

Values from the calculation:
formation energy (no corrections)	-0.204	eV/atom
energy above the most stable polymorph in this dataset	0.376	eV per atom
total magnetization	0.002	μB per cell



(3)
Computed, not measured: an optimized crystal structure of BeSiCl at the PBE level of DFT.

abc: 4.3010 4.3010 2.8792
angles: 90.00 90.00 120.00
Last column: nearest neighbours and their distance in Å.
Space group P3m1 (No. 156)
Inequivalent atoms, fractional coordinates:
Be 0.0000 0.0000 0.0000  3 Cl 2.48
Si 0.6667 0.3333 0.4962  6 Be 2.86-2.88, 6 Cl 2.87, 2 Si 2.88
Cl 0.3333 0.6667 0.9978  3 Be 2.48

Values from the calculation:
formation energy (no corrections)	0.707	eV/atom
energy above the most stable polymorph in this dataset	0.979	eV per atom
total magnetization	0.000	μB per cell



(4)
Computed, not measured: an optimized crystal structure of CrSiPb2 at the PBE level of DFT.

abc: 4.3079 3.9846 5.7238
angles: 90.00 111.90 90.00
Last column: nearest neighbours and their distance in Å.
Space group Pm (No. 6)
Inequivalent atoms, fractional coordinates:
Cr 0.0000 0.0000 0.0000  2 Si 2.45
Si 0.1354 0.5000 0.2670  2 Cr 2.45
Pb 0.4182 0.5000 0.8326  3 Si 3.00-3.16, 4 Cr 3.06-3.07
Pb 0.7134 0.0000 0.4258  3 Cr 3.05-3.13, 4 Si 3.05-3.06

Values from the calculation:
formation energy (no corrections)	0.377	eV/atom
total magnetization	3.057	μB per cell



(5)
Computed, not measured: an optimized crystal structure of NbNi2Cl at the PBE level of DFT.

abc: 6.1835 6.1835 6.1835
angles: 90.00 90.00 90.00
Last column: nearest neighbours and their distance in Å.
Space group Fm-3m (No. 225)
Inequivalent atoms, fractional coordinates:
Nb 0.0000 0.0000 0.0000  8 Ni 2.68
Ni 0.2500 0.2500 0.2500  4 Nb 2.68, 4 Cl 2.68
Cl 0.0000 0.0000 0.5000  8 Ni 2.68

Values from the calculation:
formation energy (no corrections)	0.589	eV/atom
energy above the most stable polymorph in this dataset	0.362	eV per atom
total magnetization	0.000	μB per cell



(6)
Computed, not measured: an optimized crystal structure of SiMo2H at the PBE level of DFT.

abc: 5.8611 5.8611 5.8611
angles: 90.00 90.00 90.00
Last column: nearest neighbours and their distance in Å.
Space group Fm-3m (No. 225)
Inequivalent atoms, fractional coordinates:
Si 0.0000 0.0000 0.0000  8 Mo 2.54
Mo 0.2500 0.2500 0.2500  4 H 2.54, 4 Si 2.54
H 0.0000 0.0000 0.5000  8 Mo 2.54

Values from the calculation:
energy above the most stable polymorph in this dataset	0.401	eV per atom
total magnetization	0.000	μB per cell